A plane-wave DFT calculation with PBE was carried out for LiCdSb after structural relaxation.

Cell lengths 4.7899, 4.7899, 3.5516 Å; angles 90.00, 90.00, 120.00 degrees
Closest atoms and distances in Å follow each position.
Element x y z (fractional)
Sb 0.6667 0.3333 0.6842  3 Cd 2.95, 3 Li 3.02
Cd 0.0000 0.0000 0.9739  3 Sb 2.95, 3 Li 3.06
Li 0.3333 0.6667 0.3419  3 Sb 3.02, 3 Cd 3.06

M_tot = 0.0 μB per formula unit
ΔE_f (raw) = -0.51 eV per formula unit
Mass density = 5.7 Mg/m³

A plane-wave DFT calculation with PBE was carried out for LiCdSb after structural relaxation.

Cell lengths 3.2989, 3.2989, 7.2474 Å; angles 90.00, 90.00, 120.00 degrees
Closest atoms and distances in Å follow each position.
Element x y z (fractional)
Li 0.3333 0.6667 0.3307  3 Cd 2.91, 3 Sb 2.96
Cd 0.0000 0.0000 0.0268  3 Li 2.91
Sb 0.6667 0.3333 0.6425  3 Li 2.96, 6 Sb 3.30

M_tot = 0.0 μB per formula unit
ΔE_f (raw) = -0.40 eV per formula unit
Mass density = 5.9 Mg/m³

A plane-wave DFT calculation with PBE was carried out for LiCd3Sb after structural relaxation.

Cell lengths 4.9476, 4.9476, 4.9476 Å; angles 90.00, 90.00, 90.00 degrees
Closest atoms and distances in Å follow each position.
Element x y z (fractional)
Sb 0.5000 0.5000 0.5000  12 Cd 3.50
Cd 0.0000 0.0000 0.5000  2 Li 2.47
Cd 0.5000 0.0000 0.0000  2 Li 2.47
Cd 0.0000 0.5000 0.0000  2 Li 2.47
Li 0.0000 0.0000 0.0000  6 Cd 2.47

M_tot = 0.0 μB per formula unit
Polymorph energy (0 for the lowest one) = 0 meV per atom
ΔE_f (raw) = 1.38 eV per formula unit
Mass density = 6.4 Mg/m³